## Lu2MnIn (PBE)

Data for a relaxed Lu2MnIn crystal.

Values from the calculation:
- calculated density (kg/m³) = 9352
- energy of formation from the pure elements (meV/atom) = -99
- density of states at the Fermi level (states/eV/atom) = 1.13
- ΔE to the lowest computed polymorph (meV per atom) = 75
- size of the total moment (μB/cell) = 3.17
- symmetry = P4/mmm

Geometry as POSCAR:
```
Lu2MnIn
1.0
-0.838 -2.117 -3.482
4.137 1.338 -1.809
2.040 -3.827 1.835
Mn Lu In
1 2 1
Cartesian
2.670 -2.303 -1.728
1.020 -1.914 0.918
2.069 0.669 -0.904
-0.419 -1.058 -1.741
```